Entry 1:
The following is a PBE-GGA calculation of crystalline RuAuSe2 at its relaxed geometry, from Alexandria via LeMat-Bulk.

a = 3.265 Å, b = 4.413 Å, c = 4.907 Å
α = 90.00°, β = 90.00°, γ = 90.00°
Sites, in units of the cell vectors:
Ru 0.000 0.000 0.000
Au 0.500 0.000 0.500
Se 0.000 0.500 0.500
Se 0.500 0.500 0.000

## Properties
Formation energy (no corrections) in eV per atom: 0.6435
Mass density in g/cm3: 10.7

Entry 2:
The following is a PBE-GGA calculation of crystalline ReTe2WN at its relaxed geometry, from Alexandria via LeMat-Bulk.

a = 5.373 Å, b = 5.373 Å, c = 3.698 Å
α = 90.00°, β = 90.00°, γ = 90.00°
Sites, in units of the cell vectors:
Re 0.000 0.000 0.000
Te 0.000 0.500 0.000
Te 0.500 0.000 0.000
W 0.500 0.500 0.500
N 0.000 0.000 0.500

## Properties
Formation energy (no corrections) in eV per atom: 1.0719
Mass density in g/cm3: 9.9
Energy above the lowest structure with this stoichiometry in meV per atom: 0.0

Entry 3:
The following is a PBE-GGA calculation of crystalline YMg2Co at its relaxed geometry, from Alexandria via LeMat-Bulk.

a = 4.838 Å, b = 4.838 Å, c = 4.838 Å
α = 119.81°, β = 119.81°, γ = 90.32°
Sites, in units of the cell vectors:
Y 0.000 0.000 0.000
Mg 0.250 0.750 0.500
Mg 0.500 0.500 0.000
Co 0.750 0.250 0.500

## Properties
Mass density in g/cm3: 4.1
Formation enthalpy at 0 K in meV per atom: 94

Entry 4:
The following is a PBE-GGA calculation of crystalline Na3Sn3PdS8 at its relaxed geometry, from Alexandria via LeMat-Bulk.

a = 7.533 Å, b = 7.533 Å, c = 8.157 Å
α = 117.52°, β = 117.52°, γ = 59.99°
Sites, in units of the cell vectors:
Na 0.000 0.000 0.000
Na 0.000 0.500 0.000
Na 0.500 0.000 0.000
Sn 0.000 0.500 0.500
Sn 0.500 0.000 0.500
Sn 0.500 0.500 0.500
Pd 0.000 0.000 0.500
S 0.228 0.751 0.707
S 0.230 0.230 0.708
S 0.249 0.772 0.293
S 0.258 0.258 0.273
S 0.742 0.742 0.727
S 0.751 0.228 0.707
S 0.770 0.770 0.292
S 0.772 0.249 0.293

## Properties
Formation energy (no corrections) in eV per atom: -0.5957
Mass density in g/cm3: 3.9

Entry 5:
The following is a PBE-GGA calculation of crystalline SiSbW at its relaxed geometry, from Alexandria via LeMat-Bulk.

a = 4.361 Å, b = 4.361 Å, c = 4.361 Å
α = 60.00°, β = 60.00°, γ = 60.00°
Sites, in units of the cell vectors:
Si 0.000 0.000 0.000
Sb 0.750 0.750 0.750
W 0.250 0.250 0.250

## Properties
Formation energy (no corrections) in eV per atom: 0.9038
Mass density in g/cm3: 9.5
Energy above the lowest structure with this stoichiometry in meV per atom: 603.2

Entry 6:
The following is a PBE-GGA calculation of crystalline V3NiAu at its relaxed geometry, from Alexandria via LeMat-Bulk.

a = 4.340 Å, b = 4.340 Å, c = 4.340 Å
α = 90.00°, β = 90.00°, γ = 90.00°
Sites, in units of the cell vectors:
V 0.000 0.000 0.500
V 0.000 0.500 0.000
V 0.500 0.000 0.000
Ni 0.000 0.000 0.000
Au 0.500 0.500 0.500

## Properties
Mass density in g/cm3: 8.3
Energy above the lowest structure with this stoichiometry in meV per atom: 0.0
Formation enthalpy at 0 K in meV per atom: 768

Entry 7:
The following is a PBE-GGA calculation of crystalline Fe2PdRh5 at its relaxed geometry, from Alexandria via LeMat-Bulk.

a = 5.401 Å, b = 5.401 Å, c = 5.401 Å
α = 119.94°, β = 119.94°, γ = 90.10°
Sites, in units of the cell vectors:
Fe 0.000 0.500 0.500
Fe 0.500 0.000 0.500
Pd 0.000 0.000 0.000
Rh 0.000 0.000 0.500
Rh 0.000 0.500 0.000
Rh 0.500 0.000 0.000
Rh 0.500 0.500 0.000
Rh 0.500 0.500 0.500

## Properties
Mass density in g/cm3: 10.9
Formation enthalpy at 0 K in meV per atom: -35

Entry 8:
The following is a PBE-GGA calculation of crystalline LiTb2Nd3S6 at its relaxed geometry, from Alexandria via LeMat-Bulk.

a = 6.876 Å, b = 6.876 Å, c = 6.938 Å
α = 99.53°, β = 99.53°, γ = 120.17°
Sites, in units of the cell vectors:
Li 0.000 0.000 0.000
Tb 0.334 0.666 0.000
Tb 0.666 0.334 0.000
Nd 0.165 0.835 0.500
Nd 0.500 0.500 0.500
Nd 0.835 0.165 0.500
S 0.078 0.406 0.235
S 0.248 0.248 0.768
S 0.406 0.078 0.235
S 0.594 0.922 0.765
S 0.752 0.752 0.232
S 0.922 0.594 0.765

## Properties
Formation energy (no corrections) in eV per atom: -1.9633
Mass density in g/cm3: 5.9

> Among the records above, which one has the highest mass density?

Fe2PdRh5

> Look up the mass density of the third one.

4.1 g/cm3